KMgZr: optimized geometry, PBE.

Cell: 5.2388 5.2388 5.2388 Å, 60.00 60.00 60.00°
With the nearest neighbours (Å) after each atom.
Positions (direct):
K  0.0000  0.0000  0.0000  4 Mg 3.21, 4 Zr 3.21
Mg  0.7500  0.7500  0.7500  4 K 3.21
Zr  0.2500  0.2500  0.2500  4 K 3.21

## Properties
Final energy, eV/atom: -2.1380
Excess energy over the best structure of this formula in the dataset, meV per atom: 1146
Formation energy, meV per atom: 1609